VASP calculation (GGA+U) on a geometry-optimized YMnIr2F structure.

Unit cell a=4.9409 b=3.7513 c=4.9409 alpha=90.00 beta=90.00 gamma=90.00
Closest atoms and distances in Å follow each position.
Fractional coordinates of all 5 atoms:
Y (0.5000, 0.5000, 0.5000)  8 Ir 3.10
Ir (0.0000, 0.0000, 0.5000)  2 Mn 2.47
Ir (0.5000, 0.0000, 0.0000)  2 Mn 2.47
Mn (0.0000, 0.0000, 0.0000)  2 F 1.88
F (0.0000, 0.5000, 0.0000)  2 Mn 1.88

* uncorrected energy: -6.845 eV per atom
* SG: P4/mmm, No. 123
* M_tot: 0.805 μB/atom